Record 1
BaCdIn2Bi2: relaxed, PBE.

Cell and atoms, written as POSCAR:
```
BaCdIn2Bi2
1.0
5.0146 0.0000 0.0000
0.0000 9.7719 0.0000
0.0000 0.0000 8.4362
Ba Cd In Bi
2 2 4 4
Direct
0.0000 0.0764 0.0000
0.0000 0.9236 0.5000
0.5000 0.1758 0.6647
0.5000 0.8242 0.1647
0.0000 0.3393 0.3518
0.0000 0.6607 0.8518
0.5000 0.4353 0.0389
0.5000 0.5647 0.5389
0.0000 0.3509 0.7222
0.0000 0.6491 0.2222
0.5000 0.1300 0.2917
0.5000 0.8700 0.7917
```

Output
The density of states at the Fermi level comes out at 5.32 states/eV per cell. Its space group is No. 26. Its calculated total energy is -17.69 eV per formula unit.


Record 2
BaCd2BiIr: relaxed, PBE.

Cell and atoms, written as POSCAR:
```
BaCd2BiIr
1.0
5.2889 0.0000 0.0000
0.0000 5.2889 0.0000
0.0000 0.0000 5.3941
Ba Cd Bi Ir
1 2 1 1
Direct
0.0000 0.0000 0.0000
0.0000 0.5000 0.5000
0.5000 0.0000 0.5000
0.5000 0.5000 0.0000
0.5000 0.5000 0.5000
```

Output
The density of states at the Fermi level comes out at 3.80 states/eV per cell. Its space group is No. 123. Its calculated total energy is -17.34 eV per formula unit.


> The lowest calculated total energy belongs to which entry?

BaCdIn2Bi2